(1)
Density functional theory data (PBE-GGA) for an optimized crystal structure of HfFeRu2.

Its formation energy is -1.1 eV/f.u.

The space group is P4/mmm (No. 123) and the conventional cell measures 3.156, 3.156 and 6.143 Å, with angles of 90.00, 90.00 and 90.00 degrees. Symmetry generates all atoms from Hf at (0.000, 0.000, 0.000), Fe at (0.000, 0.000, 0.500) and Ru at (0.500, 0.500, 0.266).

(2)
Density functional theory data (PBE-GGA) for an optimized crystal structure of B3SbCl.

Its offset from the most stable computed form is 100 meV per atom. For the uncorrected formation energy, the calculation gives 2162 meV/atom.

The space group is Pm-3m (No. 221) and the conventional cell measures 4.072, 4.072 and 4.072 Å, with angles of 90.00, 90.00 and 90.00 degrees. Symmetry generates all atoms from B at (0.000, 0.000, 0.500), Sb at (0.500, 0.500, 0.500) and Cl at (0.000, 0.000, 0.000).

Number 1: theoretical density 11.843 Mg/m³. Number 2: theoretical density 4.663 Mg/m³.